No. 1
# Lu2ZnCo GGA-PBE relaxed
data_Lu2ZnCo
_chemical_formula_sum 'Lu6 Zn3 Co3'
_space_group_name_H-M_alt 'R -3 m'
_space_group_IT_number 166
_space_group_name_Hall '-R 3 2"'
_cell_length_a 3.6618
_cell_length_b 3.6618
_cell_length_c 27.2969
_cell_angle_alpha 90.00
_cell_angle_beta 90.00
_cell_angle_gamma 120.00
loop_
_atom_site_label
_atom_site_type_symbol
_atom_site_fract_x
_atom_site_fract_y
_atom_site_fract_z
Lu1 Lu 0.0000 0.0000 0.1129
Zn1 Zn 0.0000 0.0000 0.0000
Co1 Co 0.0000 0.0000 0.5000
# Distance to the lowest polymorph of the same formula in eV/atom: 0.4718

No. 2
Here is crystalline LuZn4Co at its relaxed geometry from Alexandria via LeMat-Bulk. Energies are from GGA-PBE.

Structure (CIF):
```
data_LuZn4Co
_chemical_formula_sum 'Lu4 Zn16 Co4'
_space_group_name_H-M_alt 'F -4 3 m'
_space_group_IT_number 216
_space_group_name_Hall 'F -4 2 3'
_cell_length_a 7.150
_cell_length_b 7.150
_cell_length_c 7.150
_cell_angle_alpha 90.00
_cell_angle_beta 90.00
_cell_angle_gamma 90.00
loop_
_atom_site_label
_atom_site_type_symbol
_atom_site_fract_x
_atom_site_fract_y
_atom_site_fract_z
Lu1 Lu 0.000 0.000 0.000
Zn1 Zn 0.124 0.124 0.376
Co1 Co 0.250 0.250 0.750
```

Computed theoretical density, in the same sequence as the records: 7.5; 9.0 g/cm3.
Computed total DFT energy (no corrections), in the same sequence as the records: -4.22; -2.98 eV per atom.
Computed ΔE_f, in the same sequence as the records: 0.14; -0.19 eV/atom.